BaCoIO2 GGA+U optimized geometry; N(E_F) = 4.82 states/eV per cell; uncorrected energy = -4.4336 eV/atom; symmetry = P4/mmm, No. 123; energy relative to the lowest polymorph listed for this composition = 0 meV per atom
1.0
4.490 0.000 0.000
0.000 4.490 0.000
0.000 0.000 5.056
Ba Co I O
1 1 1 2
Cartesian
0.000 0.000 0.000
2.245 2.245 2.528
2.245 2.245 0.000
0.000 2.245 2.528
2.245 0.000 2.528